A plane-wave DFT calculation with PBE was carried out for a geometry-optimized TlCu2Se structure. Values from VASP.

```
&SYSTEM
  ibrav = 0, nat = 4, ntyp = 3
/
ATOMIC_SPECIES
Cu 63.55 Cu.upf
Se 78.96 Se.upf
Tl 204.38 Tl.upf
CELL_PARAMETERS angstrom
-0.4176 3.4952 1.3333
-2.4242 -2.0184 4.5317
3.3098 -0.2393 1.6640
ATOMIC_POSITIONS crystal
Cu 0.0000 0.0000 0.0000
Cu 0.5000 0.5000 0.0000
Se 0.5000 0.0000 0.5000
Tl 0.0000 0.5000 0.5000
```

Output
N(E_F)   1.46 states/eV/f.u.
SG   No. 47
Energy relative to the elements, uncorrected   0.248 eV per atom

***

A plane-wave DFT calculation with PBE was carried out for a geometry-optimized TlCu2Se2 structure. Values from VASP.

```
&SYSTEM
  ibrav = 0, nat = 5, ntyp = 3
/
ATOMIC_SPECIES
Tl 204.38 Tl.upf
Cu 63.55 Cu.upf
Se 78.96 Se.upf
CELL_PARAMETERS angstrom
-3.3752 -0.8956 -1.4611
1.5637 -0.2888 -3.4352
1.4013 -7.3269 1.2538
ATOMIC_POSITIONS crystal
Tl 0.0000 0.0000 0.0000
Cu 0.5000 0.0000 0.5000
Cu 0.0000 0.5000 0.5000
Se 0.5000 0.5000 0.7177
Se 0.5000 0.5000 0.2823
```

Output
N(E_F)   2.19 states/eV/f.u.
SG   No. 123
Energy relative to the elements, uncorrected   -0.179 eV per atom

***

A plane-wave DFT calculation with PBE was carried out for a geometry-optimized Tl2CuSe structure. Values from VASP.

```
&SYSTEM
  ibrav = 0, nat = 4, ntyp = 3
/
ATOMIC_SPECIES
Cu 63.55 Cu.upf
Se 78.96 Se.upf
Tl 204.38 Tl.upf
CELL_PARAMETERS angstrom
-6.9822 4.5733 0.3023
-7.7236 0.4202 3.1506
8.2637 -1.1848 0.2551
ATOMIC_POSITIONS crystal
Cu 0.2500 0.7500 0.5000
Se 0.7500 0.2500 0.5000
Tl 0.0843 0.0843 0.0000
Tl 0.4157 0.4157 0.0000
```

Output
N(E_F)   1.97 states/eV/f.u.
SG   No. 71
Energy relative to the elements, uncorrected   -0.041 eV per atom

***

A plane-wave DFT calculation with PBE was carried out for a geometry-optimized TlCu2Se structure. Values from VASP.

```
&SYSTEM
  ibrav = 0, nat = 4, ntyp = 3
/
ATOMIC_SPECIES
Cu 63.55 Cu.upf
Se 78.96 Se.upf
Tl 204.38 Tl.upf
CELL_PARAMETERS angstrom
-6.3565 0.2784 -1.1821
-4.2571 -4.3631 -2.1727
4.8208 1.3021 4.1164
ATOMIC_POSITIONS crystal
Cu 0.0000 0.0000 0.0000
Cu 0.2500 0.7500 0.5000
Se 0.5000 0.5000 0.0000
Tl 0.7500 0.2500 0.5000
```

Output
N(E_F)   1.26 states/eV/f.u.
SG   No. 119
Energy relative to the elements, uncorrected   0.253 eV per atom

***

A plane-wave DFT calculation with PBE was carried out for a geometry-optimized TlCuSe4 structure. Values from VASP.

```
&SYSTEM
  ibrav = 0, nat = 12, ntyp = 3
/
ATOMIC_SPECIES
Tl 204.38 Tl.upf
Cu 63.55 Cu.upf
Se 78.96 Se.upf
CELL_PARAMETERS angstrom
-0.2712 -2.9076 -3.9839
1.8316 -3.2428 5.3043
-11.3134 -0.6153 1.2191
ATOMIC_POSITIONS crystal
Tl 0.3854 0.0000 0.2500
Tl 0.6146 0.0000 0.7500
Cu 0.5000 0.5000 0.0000
Cu 0.0000 0.5000 0.5000
Se 0.5544 0.5102 0.2129
Se 0.0442 0.4898 0.2871
Se 0.4456 0.4898 0.7871
Se 0.9558 0.5102 0.7129
Se 0.0372 0.8889 0.5697
Se 0.1483 0.1111 0.9303
Se 0.9628 0.1111 0.4303
Se 0.8517 0.8889 0.0697
```

Output
N(E_F)   2.55 states/eV/f.u.
SG   No. 15
Energy relative to the elements, uncorrected   -0.053 eV per atom

***

A plane-wave DFT calculation with PBE was carried out for a geometry-optimized TlCu2Se2 structure. Values from VASP.

```
&SYSTEM
  ibrav = 0, nat = 10, ntyp = 3
/
ATOMIC_SPECIES
Tl 204.38 Tl.upf
Cu 63.55 Cu.upf
Se 78.96 Se.upf
CELL_PARAMETERS angstrom
7.7986 0.0000 0.0000
0.0000 7.7986 0.0000
0.0000 0.0000 3.2311
ATOMIC_POSITIONS crystal
Tl 0.0000 0.0000 0.0000
Tl 0.5000 0.5000 0.0000
Cu 0.3848 0.8848 0.0000
Cu 0.8848 0.6152 0.0000
Cu 0.6152 0.1152 0.0000
Cu 0.1152 0.3848 0.0000
Se 0.1596 0.6596 0.5000
Se 0.6596 0.8404 0.5000
Se 0.8404 0.3404 0.5000
Se 0.3404 0.1596 0.5000
```

Output
N(E_F)   3.19 states/eV/f.u.
SG   No. 127
Energy relative to the elements, uncorrected   0.093 eV per atom